## Mn3SnO8 (GGA+U)

Data for an optimized crystal structure of Mn3SnO8.

## Properties
**Magnetization**: 27.0 μB/cell
**VASP energy**: -6.8180 eV per atom

```
data_Mn3SnO8
_cell_length_a 5.8321
_cell_length_b 5.8321
_cell_length_c 15.4046
_cell_angle_alpha 90.00
_cell_angle_beta 90.00
_cell_angle_gamma 120.00
_space_group_name_H-M_alt 'R -3 m'
_space_group_IT_number 166
_space_group_name_Hall '-R 3 2"'
loop_
_atom_site_label
_atom_site_fract_x
_atom_site_fract_y
_atom_site_fract_z
Mn1 0.0000 0.5000 0.0000
Sn1 0.0000 0.0000 0.5000
O1 0.0000 0.0000 0.2698
O2 0.0304 0.5152 0.2617
```